A plane-wave DFT calculation with PBE with a Hubbard U was carried out for crystalline MnS2O at its relaxed geometry.

Calculated values
Density   3.06 Mg/m³
Magnetic moment   3.429 μB per cell
Uncorrected energy   -5.293 eV/atom

a = 6.424 Å, b = 6.424 Å, c = 6.424 Å
α = 33.87°, β = 33.87°, γ = 33.87°
Atoms (fractional coordinates):
Mn1 0.000 0.000 0.000
S1 0.403 0.403 0.403
S2 0.597 0.597 0.597
O1 0.500 0.500 0.500